A plane-wave DFT calculation with PBE with a Hubbard U was carried out for an optimized crystal structure of MnAlAs2O8.

Properties
As for the space-group type: I-4m2. For the volume, the calculation gives 128 Å³/cell. The calculation puts the total energy at -77.42 eV for the cell shown.

Unit cell a=5.5032 b=5.5032 c=5.5032 alpha=109.10 beta=109.10 gamma=110.22
Last column: magnetic moment on the atom in μB.
Positions (direct):
1 O 0.3069 0.4982 0.1913  -0.04
2 As 0.5000 0.5000 0.0000  0.01
3 O 0.9320 0.2305 0.2985  0.01
4 O 0.7695 0.0680 0.7015  0.01
5 Mn 0.2500 0.7500 0.5000  3.94
6 O 0.5018 0.6931 0.8087  -0.04
7 O 0.8844 0.6931 0.1913  -0.04
8 As 0.7500 0.2500 0.5000  0.00
9 O 0.3069 0.1156 0.8087  -0.04
10 O 0.9320 0.6335 0.7015  0.01
11 Al 0.0000 0.0000 0.0000  0.00
12 O 0.3665 0.0680 0.2985  0.01